Arrangement a

Entry from the Alexandria database: a relaxed LiBePb crystal (GGA-PBEsol).

Lattice parameters (Å, degrees): 6.092 6.092 6.092 90.00 90.00 90.00
Positions (direct):
Li: 0.000 0.000 0.000
Li: 0.000 0.500 0.500
Li: 0.500 0.000 0.500
Li: 0.500 0.500 0.000
Be: 0.000 0.000 0.500
Be: 0.000 0.500 0.000
Be: 0.500 0.000 0.000
Be: 0.500 0.500 0.500
Pb: 0.250 0.250 0.750
Pb: 0.250 0.750 0.250
Pb: 0.750 0.250 0.250
Pb: 0.750 0.750 0.750

Magnetic moment (μB per cell): 0.000
Crystal system: cubic
Space-group type: F-43m

Arrangement b

Entry from the Alexandria database: a relaxed LiBePb crystal (GGA-PBEsol).

Lattice parameters (Å, degrees): 3.227 3.227 6.487 90.00 90.00 120.00
Positions (direct):
Li: 0.000 0.000 0.000
Be: 0.667 0.333 0.302
Pb: 0.333 0.667 0.619

Magnetic moment (μB per cell): 0.000
Crystal system: trigonal
Space-group type: P3m1

Sorted by energy, starting with the most stable: arrangement a, arrangement b.